No. 1
RbNbCr2: relaxed, PBE-GGA.

Calculated values
- DOS(E_F) (states/eV/cell) = 4.59
- size of the total moment (μB/f.u.) = 5.3
- distance to the lowest polymorph of the same formula (kJ/mol of atoms) = 0.0

a = 4.9426 Å, b = 4.9426 Å, c = 4.9426 Å
α = 60.00°, β = 60.00°, γ = 60.00°
Fractional positions:
Cr 0.2500 0.2500 0.2500
Cr 0.7500 0.7500 0.7500
Nb 0.5000 0.5000 0.5000
Rb 0.0000 0.0000 0.0000



No. 2
RbHg3Pd: relaxed, PBE-GGA.

Calculated values
- DOS(E_F) (states/eV/cell) = 2.71
- size of the total moment (μB/f.u.) = 0.0
- distance to the lowest polymorph of the same formula (kJ/mol of atoms) = 23.4

a = 4.6900 Å, b = 4.6900 Å, c = 20.7037 Å
α = 90.00°, β = 90.00°, γ = 120.00°
Fractional positions:
Rb 0.0000 0.0000 0.0000
Rb 0.0000 0.0000 0.5000
Hg 0.0000 0.0000 0.2500
Hg 0.0000 0.0000 0.7500
Hg 0.3333 0.6667 0.8809
Hg 0.3333 0.6667 0.6191
Hg 0.6667 0.3333 0.3809
Hg 0.6667 0.3333 0.1191
Pd 0.3333 0.6667 0.7500
Pd 0.6667 0.3333 0.2500



No. 3
YAgPb2: relaxed, PBE-GGA.

Calculated values
- DOS(E_F) (states/eV/cell) = 4.48
- size of the total moment (μB/f.u.) = 0.0
- electronic total energy (eV/cell) = -16.82

a = 10.0323 Å, b = 10.0323 Å, c = 10.0323 Å
α = 21.04°, β = 21.04°, γ = 21.04°
Fractional positions:
Ag 0.2486 0.2486 0.2486
Pb 0.9921 0.9921 0.9921
Pb 0.7516 0.7516 0.7516
Y 0.5076 0.5076 0.5076



No. 4
LaMn2Fe: relaxed, PBE-GGA.

Calculated values
- DOS(E_F) (states/eV/cell) = 4.35
- size of the total moment (μB/f.u.) = 6.6
- distance to the lowest polymorph of the same formula (kJ/mol of atoms) = 16.0

a = 3.0324 Å, b = 3.0317 Å, c = 7.9438 Å
α = 67.55°, β = 90.00°, γ = 90.00°
Fractional positions:
Fe 0.5000 0.2500 0.2500
La 0.5000 0.7500 0.7500
Mn 0.0000 0.9248 0.0750
Mn 0.0000 0.5752 0.4250



No. 5
InHRh3: relaxed, PBE-GGA.

Calculated values
- DOS(E_F) (states/eV/cell) = 24.17
- size of the total moment (μB/f.u.) = 0.0
- distance to the lowest polymorph of the same formula (kJ/mol of atoms) = 12.7

a = 21.5652 Å, b = 4.9609 Å, c = 7.2325 Å
α = 90.00°, β = 160.38°, γ = 90.00°
Fractional positions:
H 0.5667 0.7571 0.7613
H 0.4333 0.2429 0.2387
H 0.9333 0.2571 0.7387
H 0.0667 0.7429 0.2613
Rh 0.3133 0.9075 0.9957
Rh 0.6867 0.0925 0.0043
Rh 0.1867 0.4075 0.5043
Rh 0.8133 0.5925 0.4957
Rh 0.4318 0.4221 0.4836
Rh 0.5682 0.5779 0.5164
Rh 0.0682 0.9221 0.0164
Rh 0.9318 0.0779 0.9836
Rh 0.5618 0.9128 0.9957
Rh 0.4382 0.0872 0.0043
Rh 0.9382 0.4128 0.5043
Rh 0.0618 0.5872 0.4957
In 0.1911 0.0943 0.9946
In 0.8089 0.9057 0.0054
In 0.3089 0.5943 0.5054
In 0.6911 0.4057 0.4946



No. 6
VZnGe: relaxed, PBE-GGA.

Calculated values
- DOS(E_F) (states/eV/cell) = 1.51
- size of the total moment (μB/f.u.) = 0.8
- electronic total energy (eV/cell) = -14.71

a = 2.6712 Å, b = 4.3358 Å, c = 4.3358 Å
α = 120.00°, β = 90.00°, γ = 90.00°
Fractional positions:
Ge 0.5011 0.3333 0.6667
Zn 0.4990 0.6667 0.3333
V 0.9999 0.0000 0.0000



No. 7
SrTa2Zn: relaxed, PBE-GGA.

Calculated values
- DOS(E_F) (states/eV/cell) = 6.52
- size of the total moment (μB/f.u.) = 0.0
- electronic total energy (eV/cell) = -23.75

a = 3.4134 Å, b = 3.4134 Å, c = 7.7679 Å
α = 90.00°, β = 90.00°, γ = 90.00°
Fractional positions:
Sr 0.5000 0.5000 0.7500
Ta 0.0000 0.0000 0.0829
Ta 0.0000 0.0000 0.4171
Zn 0.5000 0.5000 0.2500



No. 8
NbTlMoAs2: relaxed, PBE-GGA.

Calculated values
- DOS(E_F) (states/eV/cell) = 5.31
- size of the total moment (μB/f.u.) = 3.7
- electronic total energy (eV/cell) = -27.55

a = 4.8241 Å, b = 5.3767 Å, c = 4.8241 Å
α = 90.00°, β = 90.00°, γ = 90.00°
Fractional positions:
As 0.0000 0.0000 0.5000
As 0.5000 0.0000 0.0000
Tl 0.0000 0.5000 0.0000
Mo 0.0000 0.0000 0.0000
Nb 0.5000 0.5000 0.5000



No. 9
Th2Pd9Au: relaxed, PBE-GGA.

Calculated values
- DOS(E_F) (states/eV/cell) = 4.50
- size of the total moment (μB/f.u.) = 0.0
- electronic total energy (eV/cell) = -73.06

a = 4.1966 Å, b = 4.1966 Å, c = 12.1869 Å
α = 90.00°, β = 90.00°, γ = 90.00°
Fractional positions:
Th 0.0000 0.0000 0.3217
Th 0.0000 0.0000 0.6783
Pd 0.5000 0.5000 0.0000
Pd 0.5000 0.5000 0.3320
Pd 0.5000 0.5000 0.6680
Pd 0.5000 0.0000 0.1610
Pd 0.5000 0.0000 0.5000
Pd 0.5000 0.0000 0.8390
Pd 0.0000 0.5000 0.1610
Pd 0.0000 0.5000 0.5000
Pd 0.0000 0.5000 0.8390
Au 0.0000 0.0000 0.0000



No. 10
MgCdC3: relaxed, PBE-GGA.

Calculated values
- DOS(E_F) (states/eV/cell) = 3.40
- size of the total moment (μB/f.u.) = 0.0
- distance to the lowest polymorph of the same formula (kJ/mol of atoms) = 0.0

a = 4.1585 Å, b = 4.1585 Å, c = 4.1585 Å
α = 90.00°, β = 90.00°, γ = 90.00°
Fractional positions:
Mg 0.0000 0.0000 0.0000
C 0.0000 0.5000 0.0000
C 0.0000 0.0000 0.5000
C 0.5000 0.0000 0.0000
Cd 0.5000 0.5000 0.5000



No. 11
Ca2AgSn2: relaxed, PBE-GGA.

Calculated values
- DOS(E_F) (states/eV/cell) = 5.28
- size of the total moment (μB/f.u.) = 0.0
- distance to the lowest polymorph of the same formula (kJ/mol of atoms) = 39.0

a = 9.3331 Å, b = 9.3331 Å, c = 3.3360 Å
α = 90.00°, β = 90.00°, γ = 90.00°
Fractional positions:
Ca 0.3745 0.8745 0.0000
Ca 0.8745 0.6255 0.0000
Ca 0.6255 0.1255 0.0000
Ca 0.1255 0.3745 0.0000
Sn 0.1773 0.6773 0.5000
Sn 0.6773 0.8227 0.5000
Sn 0.8227 0.3227 0.5000
Sn 0.3227 0.1773 0.5000
Ag 0.0000 0.0000 0.0000
Ag 0.5000 0.5000 0.0000



No. 12
Hg6AuIBr2: relaxed, PBE-GGA.

Calculated values
- DOS(E_F) (states/eV/cell) = 2.16
- size of the total moment (μB/f.u.) = 0.0
- raw formation energy (eV per formula unit) = -1.75

a = 8.2600 Å, b = 8.9763 Å, c = 11.1115 Å
α = 90.00°, β = 89.77°, γ = 90.00°
Fractional positions:
Hg 0.3324 0.5000 0.9996
Hg 0.8324 0.0000 0.4996
Hg 0.6676 0.5000 0.0004
Hg 0.1676 0.0000 0.5004
Hg 0.5011 0.7140 0.4410
Hg 0.0011 0.7860 0.9410
Hg 0.4989 0.2860 0.5590
Hg 0.9989 0.2140 0.0590
Hg 0.9977 0.5343 0.2435
Hg 0.4977 0.9657 0.7435
Hg 0.0023 0.4657 0.7565
Hg 0.5023 0.0343 0.2565
Au 0.5000 0.0000 0.5000
Au 0.0000 0.5000 0.0000
I 0.5000 0.0000 0.0000
I 0.0000 0.5000 0.5000
Br 0.9969 0.9672 0.1861
Br 0.4969 0.5328 0.6861
Br 0.0031 0.0328 0.8139
Br 0.5031 0.4672 0.3139